ScCrO3 | GGA+U | relaxed

Cell lengths 6.0827, 6.0827, 6.0827 Å; angles 90.00, 90.00, 90.00 degrees
Closest atoms and distances in Å follow each position.
Positions (direct):
Sc1 0.8681 0.8681 0.8681  6 O 2.07-2.18
Sc2 0.6319 0.1319 0.3681  6 O 2.07-2.18
Sc3 0.3681 0.6319 0.1319  6 O 2.07-2.18
Sc4 0.1319 0.3681 0.6319  6 O 2.07-2.18
Cr1 0.0929 0.9071 0.4071  6 O 2.04-2.07
Cr2 0.4071 0.0929 0.9071  6 O 2.04-2.07
Cr3 0.5929 0.5929 0.5929  6 O 2.04-2.07
Cr4 0.9071 0.4071 0.0929  6 O 2.04-2.07
O1 0.9776 0.2247 0.3652  2 Cr 2.04-2.07, 2 Sc 2.07-2.18
O2 0.1348 0.0224 0.7247  2 Cr 2.04-2.07, 2 Sc 2.07-2.18
O3 0.2247 0.3652 0.9776  2 Cr 2.04-2.07, 2 Sc 2.07-2.18
O4 0.2753 0.6348 0.4776  2 Cr 2.04-2.07, 2 Sc 2.07-2.18
O5 0.3652 0.9776 0.2247  2 Cr 2.04-2.07, 2 Sc 2.07-2.18
O6 0.5224 0.7753 0.8652  2 Cr 2.04-2.07, 2 Sc 2.07-2.18
O7 0.4776 0.2753 0.6348  2 Cr 2.04-2.07, 2 Sc 2.07-2.18
O8 0.6348 0.4776 0.2753  2 Cr 2.04-2.07, 2 Sc 2.07-2.18
O9 0.7247 0.1348 0.0224  2 Cr 2.04-2.07, 2 Sc 2.07-2.18
O10 0.7753 0.8652 0.5224  2 Cr 2.04-2.07, 2 Sc 2.07-2.18
O11 0.8652 0.5224 0.7753  2 Cr 2.04-2.07, 2 Sc 2.07-2.18
O12 0.0224 0.7247 0.1348  2 Cr 2.04-2.07, 2 Sc 2.07-2.18

## Properties
Calculated density   4.278 g/cm³
E   -8.44 eV/atom